DFT (PBE-GGA) results for an optimized crystal structure of Y6ErIn.

As for the energy of formation: -0.2 eV/f.u. As for the total energy: -0.212 hartree per atom. For the energy above the most stable polymorph in this dataset, the calculation gives 98 meV/atom.

It has space group R-3 (No. 148, hexagonal axes), with a = 9.2137 Å, b = 9.2137 Å, c = 10.2105 Å, α = 90.00°, β = 90.00° and γ = 120.00°. Symmetry generates all atoms from Y at (0.0198, 0.7629, 0.2220), Er at (0.0000, 0.0000, 0.5000) and In at (0.0000, 0.0000, 0.0000).